Record 1
{
  "formula": "Lu4GaSN2",
  "functional": "PBE-GGA",
  "state": "relaxed",
  "magmom_total_mub_per_atom": 0.001,
  "dft_energy_ev_per_atom": -6.73,
  "lattice_angstrom": [[3.4560, 0.0000, 0.0000], [-1.7280, 2.9930, 0.0000], [0.0000, 0.0000, 13.2934]],
  "species": ["Ga", "Lu", "Lu", "Lu", "Lu", "N", "N", "S"],
  "fractional_positions": [[0.0000, 0.0000, 0.0000], [0.6667, 0.3333, 0.1685], [0.0000, 0.0000, 0.3617], [0.0000, 0.0000, 0.6383], [0.6667, 0.3333, 0.8315], [0.3333, 0.6667, 0.2692], [0.3333, 0.6667, 0.7308], [0.6667, 0.3333, 0.5000]]
}



Record 2
{
  "formula": "Lu2Sc4Ga3N3",
  "functional": "PBE-GGA",
  "state": "relaxed",
  "magmom_total_mub_per_atom": 0.000,
  "dft_energy_ev_per_atom": -6.92,
  "lattice_angstrom": [[-3.5329, 3.9697, 1.8791], [-3.5531, 2.5326, -3.5683], [-7.3090, -12.0788, 3.2136]],
  "species": ["Ga", "Ga", "Ga", "Ga", "Ga", "Ga", "Lu", "Lu", "Lu", "Lu", "N", "N", "N", "N", "N", "N", "Sc", "Sc", "Sc", "Sc", "Sc", "Sc", "Sc", "Sc"],
  "fractional_positions": [[0.5841, 0.8669, 0.2500], [0.0361, 0.9639, 0.2500], [0.1331, 0.4159, 0.2500], [0.8669, 0.5841, 0.7500], [0.9639, 0.0361, 0.7500], [0.4159, 0.1331, 0.7500], [0.5359, 0.3714, 0.1059], [0.6286, 0.4641, 0.3941], [0.3714, 0.5359, 0.6059], [0.4641, 0.6286, 0.8941], [0.5000, 0.0000, 0.0000], [0.8273, 0.3364, 0.0000], [0.1727, 0.6636, 0.0000], [0.3364, 0.8273, 0.5000], [0.0000, 0.5000, 0.5000], [0.6636, 0.1727, 0.5000], [0.8581, 0.6939, 0.0826], [0.1976, 0.0240, 0.0826], [0.9760, 0.8024, 0.4174], [0.3061, 0.1419, 0.4174], [0.6939, 0.8581, 0.5826], [0.0240, 0.1976, 0.5826], [0.8024, 0.9760, 0.9174], [0.1419, 0.3061, 0.9174]]
}



Record 3
{
  "formula": "Lu4GaSiN2",
  "functional": "PBE-GGA",
  "state": "relaxed",
  "magmom_total_mub_per_atom": 0.000,
  "dft_energy_ev_per_atom": -6.53,
  "lattice_angstrom": [[-3.2550, -0.8414, 0.4525], [2.4548, -2.0710, 1.0919], [0.0262, 6.6359, 12.5281]],
  "species": ["Ga", "Lu", "Lu", "Lu", "Lu", "N", "N", "Si"],
  "fractional_positions": [[0.3333, 0.6667, 0.0000], [0.6667, 0.3333, 0.1625], [0.3333, 0.6667, 0.3473], [0.3333, 0.6667, 0.6527], [0.6667, 0.3333, 0.8375], [0.0000, 0.0000, 0.2548], [0.0000, 0.0000, 0.7452], [0.6667, 0.3333, 0.5000]]
}